A relaxed Ca2Eu crystal. Source: the Alexandria database, functional PBE.

The structure in extended XYZ format:
```
6
Lattice="4.330 0.000 0.000 0.000 4.330 0.000 0.000 0.000 13.509" Properties=species:S:1:pos:R:3 pbc="T T T"
Ca 0.000 0.000 2.283
Ca 0.000 0.000 11.226
Ca 2.165 2.165 4.471
Ca 2.165 2.165 9.038
Eu 0.000 0.000 6.754
Eu 2.165 2.165 0.000
```

## Properties
The space-group type is No. 139. As for the excess energy over the best structure of this formula in the dataset: 0.0 meV per atom. The value obtained for the total magnetization is 7.8 μB per formula unit. The total energy comes out at -28.39 eV for the cell shown.


A relaxed Ca5Eu crystal. Source: the Alexandria database, functional PBE.

The structure in extended XYZ format:
```
12
Lattice="6.295 0.000 0.000 0.000 18.798 0.000 0.000 0.000 4.254" Properties=species:S:1:pos:R:3 pbc="T T T"
Ca 0.000 0.000 0.000
Ca 0.000 3.115 2.127
Ca 0.000 6.243 0.000
Ca 0.000 12.555 0.000
Ca 0.000 15.683 2.127
Ca 3.147 3.156 0.000
Ca 3.147 6.284 2.127
Ca 3.147 9.399 0.000
Ca 3.147 12.514 2.127
Ca 3.147 15.642 0.000
Eu 0.000 9.399 2.127
Eu 3.147 0.000 2.127
```

## Properties
The space-group type is No. 65. The value obtained for the total magnetization is 7.8 μB per formula unit. The total energy comes out at -40.29 eV for the cell shown.


A relaxed Ca6Eu crystal. Source: the Alexandria database, functional PBE.

The structure in extended XYZ format:
```
14
Lattice="9.538 0.000 0.000 0.000 9.538 0.000 0.000 0.000 9.538" Properties=species:S:1:pos:R:3 pbc="T T T"
Ca 0.000 2.384 4.769
Ca 0.000 4.769 2.384
Ca 0.000 4.769 7.153
Ca 0.000 7.153 4.769
Ca 2.384 0.000 4.769
Ca 2.384 4.769 0.000
Ca 4.769 0.000 2.384
Ca 4.769 0.000 7.153
Ca 4.769 2.384 0.000
Ca 4.769 7.153 0.000
Ca 7.153 0.000 4.769
Ca 7.153 4.769 0.000
Eu 0.000 0.000 0.000
Eu 4.769 4.769 4.769
```

## Properties
The space-group type is No. 229. The value obtained for the total magnetization is 7.4 μB per formula unit. The total energy comes out at -31.67 eV for the cell shown.


A relaxed Ca3Eu crystal. Source: the Alexandria database, functional PBE.

The structure in extended XYZ format:
```
4
Lattice="5.548 0.000 0.000 0.000 5.548 0.000 0.000 0.000 5.548" Properties=species:S:1:pos:R:3 pbc="T T T"
Ca 0.000 0.000 2.774
Ca 0.000 2.774 0.000
Ca 2.774 0.000 0.000
Eu 2.774 2.774 2.774
```

## Properties
The space-group type is No. 221. As for the excess energy over the best structure of this formula in the dataset: 2.4 meV per atom. The value obtained for the total magnetization is 7.7 μB per formula unit. The total energy comes out at -16.21 eV for the cell shown.